1.
# KTbFeS3 GGA-PBE relaxed
data_KTbFeS3
_chemical_formula_sum 'K2 Tb2 Fe2 S6'
_cell_length_a 8.737
_cell_length_b 3.967
_cell_length_c 9.319
_cell_angle_alpha 90.00
_cell_angle_beta 107.17
_cell_angle_gamma 90.00
_space_group_name_H-M_alt 'P 1'
_space_group_IT_number 1
loop_
_space_group_symop_operation_xyz
'x,y,z'
loop_
_atom_site_label
_atom_site_type_symbol
_atom_site_fract_x
_atom_site_fract_y
_atom_site_fract_z
_atom_site_occupancy
Fe1 Fe 0.424 0.750 0.407 1
Fe2 Fe 0.576 0.250 0.593 1
K1 K 0.706 0.250 0.235 1
K2 K 0.294 0.750 0.765 1
S1 S 0.390 0.750 0.155 1
S2 S 0.956 0.750 0.156 1
S3 S 0.301 0.250 0.466 1
S4 S 0.699 0.750 0.534 1
S5 S 0.044 0.250 0.844 1
S6 S 0.610 0.250 0.845 1
Tb1 Tb 0.167 0.250 0.149 1
Tb2 Tb 0.833 0.750 0.851 1
# VASP energy	-68.97	eV for the cell shown
# theoretical density	3.767	g cm⁻³
# crystal system	monoclinic
# magnetization	4.00	μB/f.u.
# E above lowest polymorph	0.00	kcal/mol of atoms

---

2.
# LaTcW GGA-PBE relaxed
data_LaTcW
_chemical_formula_sum 'La1 Tc1 W1'
_cell_length_a 4.473
_cell_length_b 4.473
_cell_length_c 4.473
_cell_angle_alpha 60.00
_cell_angle_beta 60.00
_cell_angle_gamma 60.00
_space_group_name_H-M_alt 'P 1'
_space_group_IT_number 1
loop_
_space_group_symop_operation_xyz
'x,y,z'
loop_
_atom_site_label
_atom_site_type_symbol
_atom_site_fract_x
_atom_site_fract_y
_atom_site_fract_z
_atom_site_occupancy
La1 La 0.000 0.000 0.000 1
Tc1 Tc 0.250 0.250 0.250 1
W1 W 0.750 0.750 0.750 1
# VASP energy	-22.71	eV for the cell shown
# theoretical density	11.038	g cm⁻³
# crystal system	cubic
# magnetization	0.03	μB/f.u.
# E above lowest polymorph	24.29	kcal/mol of atoms

---

3.
# AlCuMoPt GGA-PBE relaxed
data_AlCuMoPt
_chemical_formula_sum 'Al1 Cu1 Mo1 Pt1'
_cell_length_a 4.377
_cell_length_b 4.377
_cell_length_c 4.377
_cell_angle_alpha 60.00
_cell_angle_beta 60.00
_cell_angle_gamma 60.00
_space_group_name_H-M_alt 'P 1'
_space_group_IT_number 1
loop_
_space_group_symop_operation_xyz
'x,y,z'
loop_
_atom_site_label
_atom_site_type_symbol
_atom_site_fract_x
_atom_site_fract_y
_atom_site_fract_z
_atom_site_occupancy
Al1 Al 0.000 0.000 0.000 1
Cu1 Cu 0.750 0.750 0.750 1
Mo1 Mo 0.500 0.500 0.500 1
Pt1 Pt 0.250 0.250 0.250 1
# VASP energy	-24.86	eV for the cell shown
# theoretical density	10.687	g cm⁻³
# crystal system	cubic
# magnetization	1.37	μB/f.u.
# E above lowest polymorph	0.00	kcal/mol of atoms

---

4.
# HoTm2In3Ir2Au GGA-PBE relaxed
data_HoTm2In3Ir2Au
_chemical_formula_sum 'Ho1 Tm2 In3 Ir2 Au1'
_cell_length_a 3.805
_cell_length_b 7.677
_cell_length_c 7.677
_cell_angle_alpha 120.22
_cell_angle_beta 90.00
_cell_angle_gamma 90.00
_space_group_name_H-M_alt 'P 1'
_space_group_IT_number 1
loop_
_space_group_symop_operation_xyz
'x,y,z'
loop_
_atom_site_label
_atom_site_type_symbol
_atom_site_fract_x
_atom_site_fract_y
_atom_site_fract_z
_atom_site_occupancy
Au1 Au 0.000 0.001 0.001 1
Ho1 Ho 0.000 0.592 0.592 1
In1 In 0.500 0.729 0.000 1
In2 In 0.500 0.271 0.271 1
In3 In 0.500 0.000 0.729 1
Ir1 Ir 0.500 0.667 0.332 1
Ir2 Ir 0.500 0.332 0.667 1
Tm1 Tm 0.000 0.408 0.000 1
Tm2 Tm 0.000 0.000 0.408 1
# VASP energy	-49.05	eV for the cell shown
# theoretical density	12.244	g cm⁻³
# crystal system	orthorhombic
# magnetization	0.02	μB/f.u.